w.
Below is AgTe2Au after structural relaxation, with properties calculated at the PBE-GGA level.

The structure in CIF format:
```
data_AgTe2Au
_chemical_formula_sum 'Ag1 Te2 Au1'
_cell_length_a 3.971
_cell_length_b 3.971
_cell_length_c 6.104
_cell_angle_alpha 90.00
_cell_angle_beta 90.00
_cell_angle_gamma 90.00
_symmetry_space_group_name_H-M 'P 4/m m m'
_symmetry_Int_Tables_number 123
_symmetry_space_group_name_Hall '-P 4 2'
loop_
_atom_site_label
_atom_site_fract_x
_atom_site_fract_y
_atom_site_fract_z
Ag1 0.000 0.000 0.000
Te1 0.500 0.500 0.250
Au1 0.000 0.000 0.500
```

Computed properties:
Magnetic moment, Bohr magnetons per cell: 0.000

x.
Below is AgTe2Au after structural relaxation, with properties calculated at the PBE-GGA level.

The structure in CIF format:
```
data_AgTe2Au
_chemical_formula_sum 'Ag4 Te8 Au4'
_cell_length_a 7.257
_cell_length_b 7.257
_cell_length_c 7.257
_cell_angle_alpha 90.00
_cell_angle_beta 90.00
_cell_angle_gamma 90.00
_symmetry_space_group_name_H-M 'F -4 3 m'
_symmetry_Int_Tables_number 216
_symmetry_space_group_name_Hall 'F -4 2 3'
loop_
_atom_site_label
_atom_site_fract_x
_atom_site_fract_y
_atom_site_fract_z
Ag1 0.000 0.000 0.000
Te1 0.000 0.000 0.500
Te2 0.250 0.250 0.250
Au1 0.250 0.250 0.750
```

Computed properties:
Magnetic moment, Bohr magnetons per cell: 0.000

Most stable structure - w; separation to the second - 0.103 eV/atom.

w.
Below is AgTe2Au after structural relaxation, with properties calculated at the PBE-GGA level.

The structure in CIF format:
```
data_AgTe2Au
_chemical_formula_sum 'Ag2 Te4 Au2'
_cell_length_a 6.142
_cell_length_b 8.186
_cell_length_c 5.105
_cell_angle_alpha 90.00
_cell_angle_beta 126.82
_cell_angle_gamma 90.00
_symmetry_space_group_name_H-M 'C 1 2/m 1'
_symmetry_Int_Tables_number 12
loop_
_symmetry_equiv_pos_as_xyz
'x,y,z'
'-x,-y,-z'
'-x,y,-z'
'x,-y,z'
'x+1/2,y+1/2,z'
'-x+1/2,-y+1/2,-z'
'-x+1/2,y+1/2,-z'
'x+1/2,-y+1/2,z'
loop_
_atom_site_label
_atom_site_fract_x
_atom_site_fract_y
_atom_site_fract_z
Ag1 0.000 0.000 0.000
Te1 0.250 0.250 0.500
Au1 0.000 0.500 0.000
```

Computed properties:
Magnetic moment, Bohr magnetons per cell: 0.000

x.
Below is AgTe2Au after structural relaxation, with properties calculated at the PBE-GGA level.

The structure in CIF format:
```
data_AgTe2Au
_chemical_formula_sum 'Ag4 Te8 Au4'
_cell_length_a 6.302
_cell_length_b 6.302
_cell_length_c 12.624
_cell_angle_alpha 90.00
_cell_angle_beta 90.00
_cell_angle_gamma 90.00
_symmetry_space_group_name_H-M 'I -4 2 d'
_symmetry_Int_Tables_number 122
_symmetry_space_group_name_Hall 'I -4 2bw'
loop_
_atom_site_label
_atom_site_fract_x
_atom_site_fract_y
_atom_site_fract_z
Ag1 0.000 0.000 0.000
Te1 0.243 0.250 0.625
Au1 0.000 0.000 0.500
```

Computed properties:
Magnetic moment, Bohr magnetons per cell: 0.000

y.
Below is AgTe2Au after structural relaxation, with properties calculated at the PBE-GGA level.

The structure in CIF format:
```
data_AgTe2Au
_chemical_formula_sum 'Ag1 Te2 Au1'
_cell_length_a 3.202
_cell_length_b 4.300
_cell_length_c 7.556
_cell_angle_alpha 90.00
_cell_angle_beta 90.00
_cell_angle_gamma 90.00
_symmetry_space_group_name_H-M 'P m m 2'
_symmetry_Int_Tables_number 25
loop_
_symmetry_equiv_pos_as_xyz
'x,y,z'
'-x,-y,z'
'-x,y,z'
'x,-y,z'
loop_
_atom_site_label
_atom_site_fract_x
_atom_site_fract_y
_atom_site_fract_z
Ag1 0.000 0.000 0.000
Te1 0.000 0.000 0.390
Te2 0.500 0.500 0.819
Au1 0.500 0.500 0.208
```

Computed properties:
Magnetic moment, Bohr magnetons per cell: 0.000

z.
Below is AgTe2Au after structural relaxation, with properties calculated at the PBE-GGA level.

The structure in CIF format:
```
data_AgTe2Au
_chemical_formula_sum 'Ag3 Te6 Au3'
_cell_length_a 4.2344
_cell_length_b 4.2344
_cell_length_c 24.5185
_cell_angle_alpha 90.00
_cell_angle_beta 90.00
_cell_angle_gamma 120.00
_symmetry_space_group_name_H-M 'R -3 m'
_symmetry_Int_Tables_number 166
_symmetry_space_group_name_Hall '-R 3 2"'
loop_
_atom_site_label
_atom_site_fract_x
_atom_site_fract_y
_atom_site_fract_z
Ag1 0.0000 0.0000 0.0000
Te1 0.0000 0.0000 0.3948
Au1 0.0000 0.0000 0.5000
```

Computed properties:
Magnetic moment, Bohr magnetons per cell: 0.000

Most stable structure - w; separation to the second - 0.021 eV/atom.